Entry 1:
A plane-wave DFT calculation with PBE-GGA was carried out for a relaxed CsRbAsSe2 crystal.

The structure in POSCAR format:
```
CsRbAsSe2
1.0
6.8985 0.0000 0.0000
0.0000 7.2074 0.0000
0.0000 -3.6037 6.8955
Se As Cs Rb
4 2 2 2
direct
0.2224 0.3449 0.6897 Se
0.2224 0.1551 0.3103 Se
0.7776 0.8449 0.6897 Se
0.7776 0.6551 0.3103 Se
0.0000 0.5000 0.0000 As
0.0000 0.0000 0.0000 As
0.2533 0.7500 0.5000 Cs
0.7467 0.2500 0.5000 Cs
0.5000 0.2500 0.0000 Rb
0.5000 0.7500 0.0000 Rb
```

Space group = No. 67
Energy relative to the lowest polymorph listed for this composition = 0.00 kcal/mol of atoms
E_form (uncorrected) = -0.515 eV per atom
Calculated total energy = -3.20 eV per atom



Entry 2:
A plane-wave DFT calculation with PBE-GGA was carried out for a relaxed Cs2RbAs2Se6 crystal.

The structure in POSCAR format:
```
Cs2RbAs2Se6
1.0
-6.3212 -4.1268 0.3940
3.6986 1.8615 6.3194
-5.8094 8.5606 -3.5386
Se Cs As Rb
6 2 2 1
direct
0.2464 0.4928 0.2164 Se
0.7548 0.0339 0.7864 Se
0.7536 0.5072 0.7836 Se
0.2791 0.0339 0.7864 Se
0.7209 0.9661 0.2136 Se
0.2452 0.9661 0.2136 Se
0.2889 0.5778 0.8669 Cs
0.7111 0.4222 0.1331 Cs
0.9198 0.8397 0.7565 As
0.0802 0.1603 0.2435 As
0.5000 0.0000 0.5000 Rb
```

Space group = No. 12
E_form (uncorrected) = -0.535 eV per atom
Calculated total energy = -3.52 eV per atom



Entry 3:
A plane-wave DFT calculation with PBE-GGA was carried out for a relaxed Cs2RbAsSe crystal.

The structure in POSCAR format:
```
Cs2RbAsSe
1.0
-4.4265 -4.6119 2.2908
4.1508 -3.2843 1.4085
0.1877 2.8744 6.1493
Cs As Rb Se
2 1 1 1
direct
0.0000 0.0000 0.5000 Cs
0.5000 0.0000 0.0000 Cs
0.0000 0.5000 0.0000 As
0.5000 0.5000 0.5000 Rb
0.0000 0.0000 0.0000 Se
```

Space group = No. 123
E_form (uncorrected) = -0.242 eV per atom
Calculated total energy = -2.40 eV per atom